Computed, not measured: a relaxed structure of ScSn at the GGA-PBE level of DFT.

abc: 5.864 6.038 10.602
angles: 90.00 90.00 90.00
Sites, in units of the cell vectors:
Sc: 0.080 0.110 0.220
Sc: 0.179 0.367 0.538
Sc: 0.321 0.633 0.038
Sc: 0.420 0.890 0.720
Sc: 0.580 0.390 0.780
Sc: 0.679 0.133 0.462
Sc: 0.821 0.867 0.962
Sc: 0.920 0.610 0.280
Sn: 0.078 0.544 0.791
Sn: 0.189 0.882 0.465
Sn: 0.311 0.118 0.965
Sn: 0.422 0.456 0.291
Sn: 0.578 0.956 0.209
Sn: 0.689 0.618 0.535
Sn: 0.811 0.382 0.035
Sn: 0.922 0.044 0.709

Results
Total DFT energy (no corrections): -91.38 eV/cell
V: 23.461 Å³ per atom
Energy of formation from the pure elements: -1.09 eV/f.u.
DOS(E_F): 0.76 states/eV per atom

Computed, not measured: a relaxed structure of ScSn at the GGA-PBE level of DFT.

abc: 6.673 6.673 6.673
angles: 90.00 90.00 90.00
Sites, in units of the cell vectors:
Sc: 0.000 0.000 0.000
Sc: 0.000 0.500 0.500
Sc: 0.500 0.000 0.500
Sc: 0.500 0.500 0.000
Sn: 0.250 0.250 0.750
Sn: 0.250 0.750 0.250
Sn: 0.750 0.250 0.250
Sn: 0.750 0.750 0.750

Results
Total DFT energy (no corrections): -38.03 eV/cell
V: 37.140 Å³ per atom
Energy of formation from the pure elements: 0.83 eV/f.u.
DOS(E_F): 1.58 states/eV per atom

Computed, not measured: a relaxed structure of ScSn at the GGA-PBE level of DFT.

abc: 8.902 8.902 8.902
angles: 90.00 90.00 90.00
Sites, in units of the cell vectors:
Sc: 0.187 0.187 0.187
Sc: 0.187 0.813 0.813
Sc: 0.313 0.313 0.687
Sc: 0.313 0.687 0.313
Sc: 0.687 0.313 0.313
Sc: 0.687 0.687 0.687
Sc: 0.813 0.187 0.813
Sc: 0.813 0.813 0.187
Sn: 0.131 0.131 0.869
Sn: 0.131 0.869 0.131
Sn: 0.369 0.369 0.369
Sn: 0.369 0.631 0.631
Sn: 0.631 0.369 0.631
Sn: 0.631 0.631 0.369
Sn: 0.869 0.131 0.131
Sn: 0.869 0.869 0.869

Results
Total DFT energy (no corrections): -75.44 eV/cell
V: 44.084 Å³ per atom
Energy of formation from the pure elements: 0.90 eV/f.u.
DOS(E_F): 0.90 states/eV per atom

Computed, not measured: a relaxed structure of ScSn at the GGA-PBE level of DFT.

abc: 8.535 8.535 5.716
angles: 90.00 90.00 90.00
Sites, in units of the cell vectors:
Sc: 0.085 0.264 0.000
Sc: 0.085 0.736 0.500
Sc: 0.264 0.085 0.500
Sc: 0.264 0.915 0.000
Sc: 0.736 0.085 0.000
Sc: 0.736 0.915 0.500
Sc: 0.915 0.264 0.500
Sc: 0.915 0.736 0.000
Sn: 0.230 0.420 0.500
Sn: 0.230 0.580 0.000
Sn: 0.420 0.230 0.000
Sn: 0.420 0.770 0.500
Sn: 0.580 0.230 0.500
Sn: 0.580 0.770 0.000
Sn: 0.770 0.420 0.000
Sn: 0.770 0.580 0.500

Results
Total DFT energy (no corrections): -84.91 eV/cell
V: 26.026 Å³ per atom
Energy of formation from the pure elements: -0.28 eV/f.u.
DOS(E_F): 0.76 states/eV per atom

Computed, not measured: a relaxed structure of Sc6Sn5 at the GGA-PBE level of DFT.

abc: 10.979 10.979 10.979
angles: 132.30 58.63 147.95
Sites, in units of the cell vectors:
Sc: 0.056 0.250 0.806
Sc: 0.062 0.238 0.301
Sc: 0.142 0.614 0.756
Sc: 0.358 0.114 0.472
Sc: 0.438 0.738 0.176
Sc: 0.444 0.250 0.194
Sc: 0.556 0.750 0.806
Sc: 0.562 0.262 0.824
Sc: 0.642 0.886 0.528
Sc: 0.858 0.386 0.244
Sc: 0.938 0.762 0.699
Sc: 0.944 0.750 0.194
Sn: 0.072 0.902 0.974
Sn: 0.208 0.303 0.511
Sn: 0.250 0.750 0.500
Sn: 0.292 0.803 0.094
Sn: 0.428 0.402 0.831
Sn: 0.572 0.598 0.169
Sn: 0.708 0.197 0.906
Sn: 0.750 0.250 0.500
Sn: 0.792 0.697 0.489
Sn: 0.928 0.098 0.026

Results
Total DFT energy (no corrections): -130.72 eV/cell
V: 23.417 Å³ per atom
Energy of formation from the pure elements: -7.36 eV/f.u.
DOS(E_F): 0.75 states/eV per atom

Computed, not measured: a relaxed structure of Sc3Sn at the GGA-PBE level of DFT.

abc: 4.337 4.337 9.767
angles: 90.00 90.00 90.00
Sites, in units of the cell vectors:
Sc: 0.000 0.000 0.000
Sc: 0.000 0.500 0.250
Sc: 0.000 0.500 0.750
Sc: 0.500 0.000 0.250
Sc: 0.500 0.000 0.750
Sc: 0.500 0.500 0.500
Sn: 0.000 0.000 0.500
Sn: 0.500 0.500 0.000

Results
Total DFT energy (no corrections): -49.36 eV/cell
V: 22.959 Å³ per atom
Energy of formation from the pure elements: -1.68 eV/f.u.
DOS(E_F): 1.16 states/eV per atom

Computed, not measured: a relaxed structure of ScSn at the GGA-PBE level of DFT.

abc: 4.253 4.150 5.817
angles: 90.00 111.39 90.00
Sites, in units of the cell vectors:
Sc: 0.128 0.250 0.257
Sc: 0.872 0.750 0.743
Sn: 0.400 0.250 0.799
Sn: 0.600 0.750 0.201

Results
Total DFT energy (no corrections): -23.08 eV/cell
V: 23.898 Å³ per atom
Energy of formation from the pure elements: -1.21 eV/f.u.
DOS(E_F): 0.64 states/eV per atom

Computed, not measured: a relaxed structure of ScSn6 at the GGA-PBE level of DFT.

abc: 8.099 8.099 8.099
angles: 90.00 90.00 90.00
Sites, in units of the cell vectors:
Sc: 0.000 0.000 0.000
Sc: 0.500 0.500 0.500
Sn: 0.000 0.250 0.500
Sn: 0.000 0.500 0.250
Sn: 0.000 0.500 0.750
Sn: 0.000 0.750 0.500
Sn: 0.250 0.000 0.500
Sn: 0.250 0.500 0.000
Sn: 0.500 0.000 0.250
Sn: 0.500 0.000 0.750
Sn: 0.500 0.250 0.000
Sn: 0.500 0.750 0.000
Sn: 0.750 0.000 0.500
Sn: 0.750 0.500 0.000

Results
Total DFT energy (no corrections): -53.82 eV/cell
V: 37.939 Å³ per atom
Energy of formation from the pure elements: 3.44 eV/f.u.
DOS(E_F): 1.08 states/eV per atom